<one>
## FePt2Au (SCAN)

Data for FePt2Au at its PBEsol-relaxed geometry.

Lattice parameters (Å, degrees): 2.7655 3.7397 5.7122 90.00 90.00 90.00
Fractional positions:
1 Au 0.5000 0.5000 0.5000
2 Pt 0.0000 0.0000 0.2331
3 Fe 0.5000 0.5000 0.0000
4 Pt 0.0000 0.0000 0.7669

D(E_F)	0.497	states/eV per atom
crystal system	orthorhombic

<two>
## FePt2Au (SCAN)

Data for FePt2Au at its PBEsol-relaxed geometry.

Lattice parameters (Å, degrees): 2.7508 2.7508 9.1554 81.36 81.36 60.00
Fractional positions:
1 Au 0.5000 0.5000 0.5000
2 Pt 0.7429 0.7429 0.7714
3 Pt 0.2571 0.2571 0.2286
4 Fe 0.0000 0.0000 0.0000

D(E_F)	0.563	states/eV per atom
crystal system	trigonal

Most stable structure: <one>

<one>
## Be2CuW (SCAN)

Data for Be2CuW at its PBEsol-relaxed geometry.

Lattice parameters (Å, degrees): 3.9964 3.9964 3.9964 60.00 60.00 60.00
Fractional positions:
1 Cu 0.5000 0.5000 0.5000
2 Be 0.0000 0.0000 0.0000
3 W 0.2500 0.2500 0.2500
4 Be 0.7500 0.7500 0.7500

D(E_F)	0.908	states/eV per atom
crystal system	cubic

<two>
## Be2CuW (SCAN)

Data for Be2CuW at its PBEsol-relaxed geometry.

Lattice parameters (Å, degrees): 2.6363 2.6363 6.1592 90.00 90.00 90.00
Fractional positions:
1 Be 0.0000 0.0000 0.2129
2 Be 0.0000 0.0000 0.7871
3 W 0.5000 0.5000 0.5000
4 Cu 0.5000 0.5000 0.0000

D(E_F)	0.189	states/eV per atom
crystal system	tetragonal

Most stable structure: <two>

<one>
## LiFePO4 (SCAN)

Data for LiFePO4 at its PBEsol-relaxed geometry.

Lattice parameters (Å, degrees): 5.2025 5.2025 12.8043 90.00 90.00 120.00
Fractional positions:
1 O 0.5975 0.8168 0.0994
2 O 0.2193 0.4025 0.4327
3 P 0.0000 0.5000 0.8333
4 O 0.8168 0.2193 0.7661
5 Fe 0.5000 0.5000 0.0000
6 O 0.2193 0.8168 0.2339
7 O 0.7807 0.1832 0.2339
8 O 0.1832 0.4025 0.9006
9 O 0.4025 0.2193 0.5673
10 Fe 0.0000 0.5000 0.3333
11 O 0.7807 0.5975 0.4327
12 O 0.5975 0.7807 0.5673
13 O 0.8168 0.5975 0.9006
14 Fe 0.5000 0.0000 0.6667
15 P 0.5000 0.0000 0.1667
16 Li 0.0000 0.0000 0.8333
17 O 0.1832 0.7807 0.7661
18 P 0.5000 0.5000 0.5000
19 Li 0.0000 0.0000 0.5000
20 O 0.4025 0.1832 0.0994
21 Li 0.0000 0.0000 0.1667

crystal system	hexagonal

<two>
## LiFePO4 (SCAN)

Data for LiFePO4 at its PBEsol-relaxed geometry.

Lattice parameters (Å, degrees): 7.2873 7.2873 9.5535 90.00 90.00 120.00
Fractional positions:
1 O 0.3869 0.8899 0.6653
2 Li 0.9455 0.2045 0.7411
3 O 0.1235 0.2294 0.0507
4 O 0.2294 0.1235 0.5507
5 O 0.8899 0.3869 0.1653
6 O 0.0000 0.0000 0.8313
7 O 0.8765 0.1059 0.5507
8 Fe 0.4042 0.4853 0.0149
9 Fe 0.9189 0.5147 0.5149
10 O 0.2943 0.4484 0.3731
11 Li 0.2590 0.0545 0.7411
12 P 0.0000 0.0000 0.9923
13 O 0.3333 0.6667 0.8786
14 O 0.3333 0.6667 0.1591
15 Fe 0.5147 0.9189 0.0149
16 O 0.8459 0.5516 0.8731
17 P 0.0000 0.0000 0.4923
18 O 0.8941 0.7706 0.5507
19 Fe 0.0811 0.5958 0.0149
20 O 0.6667 0.3333 0.3786
21 P 0.3333 0.6667 0.3261
22 O 0.5516 0.8459 0.3731
23 P 0.3333 0.6667 0.7101
24 O 0.7057 0.1541 0.8731
25 Fe 0.5958 0.0811 0.5149
26 O 0.6667 0.3333 0.6591
27 O 0.1101 0.4970 0.6653
28 Li 0.7955 0.7410 0.7411
29 O 0.5030 0.6131 0.6653
30 P 0.6667 0.3333 0.2101
31 Li 0.2045 0.9455 0.2411
32 O 0.4970 0.1101 0.1653
33 O 0.4484 0.2943 0.8731
34 Li 0.7410 0.7955 0.2411
35 O 0.7706 0.8941 0.0507
36 O 0.6131 0.5030 0.1653
37 P 0.6667 0.3333 0.8261
38 O 0.1541 0.7057 0.3731
39 Li 0.0545 0.2590 0.2411
40 O 0.1059 0.8765 0.0507
41 O 0.0000 0.0000 0.3313
42 Fe 0.4853 0.4042 0.5149

crystal system	trigonal

Most stable structure: <two>

<one>
## CoTc (SCAN)

Data for CoTc at its PBEsol-relaxed geometry.

Lattice parameters (Å, degrees): 3.6170 3.6170 3.6170 60.00 60.00 60.00
Fractional positions:
1 Co 0.0000 0.0000 0.0000
2 Tc 0.7500 0.7500 0.7500

D(E_F)	1.490	states/eV per atom
crystal system	cubic

<two>
## CoTc (SCAN)

Data for CoTc at its PBEsol-relaxed geometry.

Lattice parameters (Å, degrees): 3.8283 3.8283 4.9896 90.00 90.00 120.00
Fractional positions:
1 Co 0.6667 0.3333 0.0395
2 Tc 0.6667 0.3333 0.5895
3 Co 0.3333 0.6667 0.5395
4 Tc 0.3333 0.6667 0.0895

D(E_F)	1.027	states/eV per atom
crystal system	hexagonal

Most stable structure: <two>

<one>
## PbC (SCAN)

Data for PbC at its PBEsol-relaxed geometry.

Lattice parameters (Å, degrees): 2.7623 3.4448 7.7014 90.00 90.00 90.00
Fractional positions:
1 Pb 0.7500 0.5000 0.2146
2 C 0.7500 0.0000 0.4675
3 Pb 0.2500 0.5000 0.7854
4 C 0.2500 0.0000 0.5325

D(E_F)	0.345	states/eV per atom
crystal system	orthorhombic

<two>
## PbC (SCAN)

Data for PbC at its PBEsol-relaxed geometry.

Lattice parameters (Å, degrees): 3.6488 6.1140 6.3489 75.01 73.30 72.64
Fractional positions:
1 C 0.2102 0.9570 0.6226
2 Pb 0.9840 0.3577 0.6743
3 C 0.2375 0.7577 0.7673
4 Pb 0.8294 0.9881 0.3530
5 C 0.2740 0.5499 0.9022
6 Pb 0.6316 0.5563 0.1806

D(E_F)	0.233	states/eV per atom
crystal system	monoclinic

Most stable structure: <two>

<one>
## Li2SbTe (SCAN)

Data for Li2SbTe at its PBEsol-relaxed geometry.

Lattice parameters (Å, degrees): 5.1147 5.1147 5.1147 60.00 60.00 60.00
Fractional positions:
1 Te 0.7500 0.7500 0.7500
2 Li 0.2500 0.2500 0.2500
3 Sb 0.5000 0.5000 0.5000
4 Li 0.0000 0.0000 0.0000

D(E_F)	0.331	states/eV per atom
crystal system	cubic

<two>
## Li2SbTe (SCAN)

Data for Li2SbTe at its PBEsol-relaxed geometry.

Lattice parameters (Å, degrees): 3.2422 3.2422 8.3128 90.00 90.00 90.87
Fractional positions:
1 Li 0.0000 0.0000 0.7505
2 Li 0.0000 0.0000 0.2495
3 Sb 0.5000 0.5000 0.5000
4 Te 0.5000 0.5000 0.0000

D(E_F)	0.342	states/eV per atom
crystal system	orthorhombic

Most stable structure: <two>

<one>
## K3Sb (SCAN)

Data for K3Sb at its PBEsol-relaxed geometry.

Lattice parameters (Å, degrees): 3.8431 5.3607 8.0646 90.00 90.05 90.00
Fractional positions:
1 K 0.9996 0.0000 0.8057
2 K 0.0004 0.0000 0.1943
3 K 0.5000 0.5000 0.5000
4 Sb 0.5000 0.5000 0.0000

D(E_F)	0.487	states/eV per atom
crystal system	orthorhombic

<two>
## K3Sb (SCAN)

Data for K3Sb at its PBEsol-relaxed geometry.

Lattice parameters (Å, degrees): 6.0024 6.0024 10.6668 90.00 90.00 120.00
Fractional positions:
1 K 0.3333 0.6667 0.0819
2 K 0.3333 0.6667 0.4181
3 K 0.6667 0.3333 0.9181
4 K 0.6667 0.3333 0.5819
5 K 0.0000 0.0000 0.2500
6 Sb 0.3333 0.6667 0.7500
7 K 0.0000 0.0000 0.7500
8 Sb 0.6667 0.3333 0.2500

crystal system	hexagonal

Most stable structure: <two>

<one>
## TaReRh2 (SCAN)

Data for TaReRh2 at its PBEsol-relaxed geometry.

Lattice parameters (Å, degrees): 3.8928 3.8928 4.7459 114.21 114.21 90.00
Fractional positions:
1 Re 0.2500 0.7500 0.5000
2 Ta 0.5000 0.5000 0.0000
3 Rh 0.7500 0.2500 0.5000
4 Rh 0.0000 0.0000 0.0000

D(E_F)	0.915	states/eV per atom
crystal system	tetragonal

<two>
## TaReRh2 (SCAN)

Data for TaReRh2 at its PBEsol-relaxed geometry.

Lattice parameters (Å, degrees): 2.7506 4.4142 4.7920 90.00 90.00 90.00
Fractional positions:
1 Rh 0.0000 0.5000 0.7031
2 Re 0.5000 0.5000 0.1959
3 Ta 0.5000 0.0000 0.5480
4 Rh 0.0000 0.0000 0.0530

D(E_F)	0.686	states/eV per atom
crystal system	orthorhombic

Most stable structure: <two>

<one>
## MnAu2 (SCAN)

Data for MnAu2 at its PBEsol-relaxed geometry.

Lattice parameters (Å, degrees): 3.3312 3.3364 4.9017 109.90 109.86 90.00
Fractional positions:
1 Mn 0.0000 0.0000 0.0000
2 Au 0.6608 0.6608 0.3217
3 Au 0.3392 0.3392 0.6783

D(E_F)	0.334	states/eV per atom
crystal system	tetragonal

<two>
## MnAu2 (SCAN)

Data for MnAu2 at its PBEsol-relaxed geometry.

Lattice parameters (Å, degrees): 3.8762 4.9851 5.7406 108.22 90.00 112.88
Fractional positions:
1 Au 0.4903 0.9806 0.2340
2 Au 0.8268 0.6535 0.4010
3 Au 0.1732 0.3465 0.5990
4 Au 0.5097 0.0194 0.7660
5 Mn 0.1671 0.3342 0.0980
6 Mn 0.8329 0.6658 0.9020

D(E_F)	0.364	states/eV per atom
crystal system	monoclinic

Most stable structure: <one>